Entry 1:
PBE Sn3I5F, optimized geometry; symmetry = C2/m; total magnetic moment = 0.00 Bohr magnetons per cell; uncorrected formation energy = -0.72 eV/atom; E = -56.146 eV/cell
1.0
8.948 0.241 2.976
1.732 8.782 2.976
0.077 0.065 9.671
I Sn F
10 6 2
Direct
0.001 0.365 0.365
0.713 0.287 0.000
0.635 0.999 0.635
0.365 0.001 0.365
0.225 0.225 0.921
0.287 0.713 0.000
0.775 0.775 0.079
0.999 0.635 0.635
0.432 0.432 0.375
0.568 0.568 0.625
0.000 0.000 0.500
0.346 0.346 0.142
0.000 0.000 0.000
0.780 0.780 0.411
0.654 0.654 0.858
0.220 0.220 0.589
0.042 0.042 0.719
0.958 0.958 0.281

=====

Entry 2:
PBE SnIF2, optimized geometry; symmetry = I4_1/amd; energy above the most stable polymorph in this dataset = 92 meV per atom; total magnetic moment = 1.25 Bohr magnetons per cell; uncorrected formation energy = -1.35 eV/atom; E = -29.390 eV/cell
1.0
5.862 0.000 0.000
0.000 5.862 0.000
2.931 2.931 6.460
F Sn I
4 2 2
Direct
0.375 0.625 0.750
0.375 0.625 0.250
0.875 0.625 0.750
0.375 0.125 0.250
0.500 0.500 0.000
0.250 0.750 0.500
0.750 0.250 0.500
0.000 0.000 0.000

=====

Entry 3:
PBE SnIF, optimized geometry; symmetry = P-6m2; total magnetic moment = 0.00 Bohr magnetons per cell; uncorrected formation energy = -1.28 eV/atom; E = -11.261 eV/cell
1.0
4.823 0.000 0.000
0.000 4.273 0.000
0.000 -2.136 3.700
Sn I F
1 1 1
Direct
0.167 0.667 0.333
0.666 0.333 0.667
0.166 0.000 0.000

=====

Entry 4:
PBE Sn2I2F, optimized geometry; symmetry = C2/m; energy above the most stable polymorph in this dataset = 0 meV per atom; total magnetic moment = 0.00 Bohr magnetons per cell; uncorrected formation energy = -0.85 eV/atom; E = -34.499 eV/cell
1.0
6.411 0.000 0.000
3.205 8.077 0.646
3.205 3.343 7.384
I Sn F
4 4 2
Direct
0.061 0.704 0.174
0.674 0.202 0.450
0.326 0.798 0.550
0.939 0.296 0.826
0.173 0.255 0.399
0.453 0.220 0.875
0.827 0.745 0.601
0.547 0.780 0.125
0.302 0.262 0.133
0.698 0.738 0.867

=====

Entry 5:
PBE SnIF2, optimized geometry; symmetry = Fm-3m; energy above the most stable polymorph in this dataset = 466 meV per atom; total magnetic moment = 1.00 Bohr magnetons per cell; uncorrected formation energy = -0.98 eV/atom; E = -13.200 eV/cell
1.0
-1.010 -3.237 3.332
-0.037 1.244 4.588
-4.116 0.230 2.367
I F Sn
1 2 1
Direct
0.500 0.500 0.500
0.250 0.250 0.250
0.750 0.750 0.750
0.000 0.000 0.000

=====

Entry 6:
PBE SnTeI2F, optimized geometry; symmetry = P4/mmm; energy above the most stable polymorph in this dataset = 263 meV per atom; total magnetic moment = 2.22 Bohr magnetons per cell; uncorrected formation energy = 0.08 eV/atom; E = -11.735 eV/cell
1.0
5.892 0.000 0.000
0.000 5.892 0.000
0.000 0.000 5.968
Te F I Sn
1 1 2 1
Direct
0.000 0.000 0.500
0.500 0.500 0.500
0.000 0.500 0.000
0.500 0.000 0.000
0.000 0.000 0.000

=====

Entry 7:
PBE SnTeI2F, optimized geometry; symmetry = P4/mmm; energy above the most stable polymorph in this dataset = 0 meV per atom; total magnetic moment = 0.80 Bohr magnetons per cell; uncorrected formation energy = -0.19 eV/atom; E = -13.051 eV/cell
1.0
6.023 0.000 0.000
0.000 6.023 0.000
0.000 0.000 4.281
Te I Sn F
1 2 1 1
Direct
0.000 0.000 0.500
0.500 0.000 0.000
0.000 0.500 0.000
0.500 0.500 0.500
0.000 0.000 0.000

=====

Entry 8:
PBE Tl2SnI2F2, optimized geometry; symmetry = C2/m; total magnetic moment = 0.00 Bohr magnetons per cell; uncorrected formation energy = -1.29 eV/atom; E = -24.625 eV/cell
1.0
4.497 0.000 0.000
2.249 6.903 0.389
2.249 1.871 7.369
F I Tl Sn
2 2 2 1
Direct
0.188 0.693 0.931
0.812 0.307 0.069
0.437 0.813 0.314
0.563 0.187 0.686
0.813 0.620 0.754
0.187 0.380 0.246
0.000 0.000 0.000

=====

Entry 9:
PBE Tl3SnI2F6, optimized geometry; symmetry = C2/m; total magnetic moment = 0.89 Bohr magnetons per cell; uncorrected formation energy = -1.71 eV/atom; E = -45.976 eV/cell
1.0
-1.080 -5.764 -0.608
6.149 -0.770 -3.617
0.529 -1.690 8.376
Tl F I Sn
3 6 2 1
Direct
0.500 0.500 0.500
0.500 0.000 0.500
0.000 0.500 0.000
0.712 0.236 0.067
0.712 0.831 0.067
0.367 0.125 0.250
0.288 0.764 0.933
0.288 0.169 0.933
0.633 0.875 0.750
0.976 0.308 0.617
0.024 0.692 0.383
0.500 0.000 0.000

=====

Entry 10:
PBE TlSnIF2, optimized geometry; symmetry = P4/mmm; energy above the most stable polymorph in this dataset = 230 meV per atom; total magnetic moment = 0.00 Bohr magnetons per cell; uncorrected formation energy = -1.38 eV/atom; E = -18.570 eV/cell
1.0
4.547 0.000 0.000
0.000 4.547 0.000
0.000 0.000 6.349
Sn I F Tl
1 1 2 1
Direct
0.000 0.000 0.000
0.500 0.500 0.500
0.500 0.000 0.000
0.000 0.500 0.000
0.000 0.000 0.500

=====

Entry 11:
PBE TlSnIF2, optimized geometry; symmetry = P2_1/m; energy above the most stable polymorph in this dataset = 0 meV per atom; total magnetic moment = 0.00 Bohr magnetons per cell; uncorrected formation energy = -1.61 eV/atom; E = -39.445 eV/cell
1.0
4.513 0.000 0.000
0.000 7.579 0.001
0.000 -1.720 8.604
F Tl I Sn
4 2 2 2
Direct
0.250 0.487 0.211
0.250 0.438 0.551
0.750 0.513 0.789
0.750 0.562 0.449
0.250 0.707 0.940
0.750 0.293 0.060
0.750 0.916 0.222
0.250 0.084 0.778
0.250 0.673 0.421
0.750 0.327 0.579

=====

Entry 12:
PBE TlSnIF2, optimized geometry; symmetry = P4/mmm; energy above the most stable polymorph in this dataset = 135 meV per atom; total magnetic moment = 0.00 Bohr magnetons per cell; uncorrected formation energy = -1.48 eV/atom; E = -19.047 eV/cell
1.0
-2.369 4.113 0.331
-3.862 -2.345 1.491
2.026 0.661 6.290
F Tl I Sn
2 1 1 1
Direct
0.000 0.500 0.000
0.500 0.000 0.000
0.500 0.500 0.500
0.000 0.000 0.500
0.000 0.000 0.000

=====

Entry 13:
PBE Sr5I3F12, optimized geometry; symmetry = Ia-3d; total magnetic moment = 20.07 Bohr magnetons per cell; uncorrected formation energy = -2.70 eV/atom; E = -358.334 eV/cell
1.0
-8.142 -10.547 0.902
11.980 -3.985 -4.352
1.291 5.668 12.023
F Sr I
48 20 12
Direct
0.385 0.301 0.315
0.301 0.385 0.815
0.801 0.315 0.885
0.615 0.916 0.431
0.685 0.199 0.615
0.015 0.584 0.699
0.584 0.015 0.199
0.315 0.801 0.385
0.885 0.069 0.584
0.584 0.569 0.885
0.885 0.815 0.801
0.115 0.931 0.416
0.931 0.115 0.916
0.569 0.985 0.685
0.515 0.315 0.931
0.315 0.515 0.431
0.699 0.084 0.015
0.069 0.185 0.485
0.815 0.931 0.015
0.931 0.815 0.515
0.115 0.185 0.199
0.485 0.801 0.916
0.985 0.416 0.301
0.485 0.685 0.069
0.199 0.685 0.115
0.515 0.199 0.084
0.801 0.485 0.416
0.084 0.385 0.069
0.916 0.615 0.931
0.185 0.115 0.699
0.699 0.615 0.185
0.431 0.416 0.615
0.416 0.431 0.115
0.615 0.699 0.685
0.916 0.301 0.485
0.416 0.985 0.801
0.069 0.885 0.084
0.015 0.431 0.815
0.815 0.885 0.301
0.084 0.699 0.515
0.685 0.485 0.569
0.569 0.584 0.385
0.199 0.515 0.584
0.985 0.569 0.185
0.185 0.069 0.985
0.385 0.084 0.569
0.301 0.916 0.985
0.431 0.015 0.315
0.250 0.875 0.125
0.125 0.375 0.250
0.500 0.500 0.000
0.625 0.875 0.250
0.250 0.375 0.625
0.375 0.250 0.125
0.500 0.500 0.500
0.375 0.125 0.750
0.500 0.000 0.500
0.125 0.750 0.375
0.000 0.000 0.000
0.000 0.500 0.500
0.875 0.625 0.750
0.000 0.500 0.000
0.750 0.125 0.875
0.500 0.000 0.000
0.875 0.250 0.625
0.750 0.625 0.375
0.625 0.750 0.875
0.000 0.000 0.500
0.750 0.375 0.125
0.625 0.375 0.750
0.125 0.875 0.750
0.750 0.875 0.625
0.250 0.625 0.875
0.250 0.125 0.375
0.375 0.625 0.250
0.625 0.250 0.375
0.125 0.250 0.875
0.875 0.125 0.250
0.375 0.750 0.625
0.875 0.750 0.125

=====

Entry 14:
PBE SrIF, optimized geometry; symmetry = I4/mmm; energy above the most stable polymorph in this dataset = 388 meV per atom; total magnetic moment = 0.00 Bohr magnetons per cell; uncorrected formation energy = -2.46 eV/atom; E = -24.993 eV/cell
1.0
-1.890 4.707 -0.056
-4.612 -1.840 1.036
-1.994 2.017 7.137
I Sr F
2 2 2
Direct
0.904 0.344 0.108
0.404 0.844 0.108
0.571 0.511 0.775
0.238 0.178 0.442
0.654 0.094 0.609
0.154 0.595 0.609

=====

Entry 15:
PBE Sr2I3F, optimized geometry; symmetry = C2/m; total magnetic moment = 0.00 Bohr magnetons per cell; uncorrected formation energy = -2.18 eV/atom; E = -45.941 eV/cell
1.0
4.895 0.000 0.000
2.448 8.917 0.752
2.448 2.839 11.242
Sr I F
4 6 2
Direct
0.141 0.533 0.184
0.410 0.731 0.450
0.590 0.269 0.550
0.859 0.467 0.816
0.347 0.306 0.000
0.219 0.179 0.383
0.947 0.858 0.249
0.053 0.142 0.751
0.781 0.821 0.617
0.653 0.694 0.000
0.560 0.508 0.372
0.440 0.492 0.628

=====

Entry 16:
PBE Sr2IF2, optimized geometry; symmetry = I4/mmm; total magnetic moment = 0.84 Bohr magnetons per cell; uncorrected formation energy = -2.74 eV/atom; E = -22.336 eV/cell
1.0
-0.617 -2.967 3.323
-1.835 -2.888 -2.920
4.482 -5.397 -0.943
F Sr I
2 2 1
Direct
0.750 0.250 0.500
0.250 0.750 0.500
0.654 0.654 0.691
0.346 0.346 0.309
0.000 0.000 0.000

=====

Entry 17:
PBE Sr2IF, optimized geometry; symmetry = Fm-3m; energy above the most stable polymorph in this dataset = 524 meV per atom; total magnetic moment = 1.77 Bohr magnetons per cell; uncorrected formation energy = -1.26 eV/atom; E = -11.825 eV/cell
1.0
5.359 -1.586 0.495
1.241 -5.223 1.632
2.199 -3.636 -3.663
Sr F I
2 1 1
Direct
0.250 0.250 0.250
0.750 0.750 0.750
0.000 0.000 0.000
0.500 0.500 0.500

=====

Entry 18:
PBE SrIF, optimized geometry; symmetry = P4/nmm; energy above the most stable polymorph in this dataset = 0 meV per atom; total magnetic moment = 0.00 Bohr magnetons per cell; uncorrected formation energy = -2.85 eV/atom; E = -27.319 eV/cell
1.0
-1.859 -3.834 0.102
3.810 -1.860 -0.438
0.991 -0.226 9.590
I F Sr
2 2 2
Direct
0.250 0.250 0.685
0.750 0.750 0.315
0.250 0.750 0.000
0.750 0.250 0.000
0.250 0.250 0.142
0.750 0.750 0.858

=====

Entry 19:
PBE SrI3F, optimized geometry; symmetry = Pm-3m; energy above the most stable polymorph in this dataset = 145 meV per atom; total magnetic moment = 2.00 Bohr magnetons per cell; uncorrected formation energy = -0.67 eV/atom; E = -11.557 eV/cell
1.0
-5.086 -2.193 3.289
3.939 -3.261 3.916
0.332 5.104 3.916
I F Sr
3 1 1
Direct
0.000 0.000 0.500
0.500 0.000 0.000
0.000 0.500 0.000
0.500 0.500 0.500
0.000 0.000 0.000

=====

Entry 20:
PBE SrI2F, optimized geometry; symmetry = Fm-3m; total magnetic moment = 0.82 Bohr magnetons per cell; uncorrected formation energy = -1.33 eV/atom; E = -11.986 eV/cell
1.0
-1.284 -3.067 4.443
-3.817 1.799 3.604
-4.936 -2.518 0.301
F Sr I
1 1 2
Direct
0.000 0.000 0.000
0.500 0.500 0.500
0.750 0.750 0.750
0.250 0.250 0.250